{"formula": "AcAg2AsO6", "functional": "GGA-PBE", "state": "optimized geometry", "lattice": [[5.4495, 0.0000, 0.0000], [2.5714, 4.8815, 0.0000], [2.6270, 1.3501, 5.4946]], "species": ["Ac", "Ag", "Ag", "As", "O", "O", "O", "O", "O", "O"], "fractional_positions": [[0.0000, 0.0000, 0.0000], [0.2380, 0.2012, 0.3422], [0.8020, 0.7857, 0.5876], [0.4951, 0.4632, 0.5428], [0.1845, 0.3677, 0.7402], [0.2214, 0.7987, 0.3731], [0.4361, 0.6694, 0.7549], [0.6098, 0.2997, 0.2951], [0.7304, 0.1310, 0.7166], [0.8046, 0.5997, 0.3494]], "energy_ev_per_atom": -5.665, "e_form_raw_ev_per_atom": -1.244, "space_group": "P1", "total_magnetization_mub_per_fu": 0.00}



{"formula": "Ac3Ag3AsO8", "functional": "GGA-PBE", "state": "optimized geometry", "lattice": [[3.7173, 2.1462, 5.4482], [-3.7173, 2.1462, 5.4482], [0.0000, -4.2924, 5.4482]], "species": ["Ac", "Ac", "Ac", "Ag", "Ag", "Ag", "As", "O", "O", "O", "O", "O", "O", "O", "O"], "fractional_positions": [[0.0000, 0.5000, 0.5000], [0.5000, 0.0000, 0.5000], [0.5000, 0.5000, 0.0000], [0.0000, 0.0000, 0.5000], [0.0000, 0.5000, 0.0000], [0.5000, 0.0000, 0.0000], [0.0000, 0.0000, 0.0000], [0.2004, 0.2004, 0.7976], [0.2004, 0.7976, 0.2004], [0.2024, 0.7996, 0.7996], [0.2649, 0.2649, 0.2649], [0.7351, 0.7351, 0.7351], [0.7976, 0.2004, 0.2004], [0.7996, 0.2024, 0.7996], [0.7996, 0.7996, 0.2024]], "energy_ev_per_atom": -6.035, "e_form_raw_ev_per_atom": -1.689, "space_group": "R-3m", "total_magnetization_mub_per_fu": 0.00}



{"formula": "AcAgAsO", "functional": "GGA-PBE", "state": "optimized geometry", "lattice": [[-1.8332, 1.8332, 6.3867], [1.8332, -1.8332, 6.3867], [1.8332, 1.8332, -6.3867]], "species": ["Ac", "Ag", "As", "O"], "fractional_positions": [[0.0000, 0.0000, 0.0000], [0.2853, 0.2853, 0.0000], [0.7340, 0.7340, 0.0000], [0.4811, 0.4811, 0.0000]], "energy_ev_per_atom": -5.421, "e_form_raw_ev_per_atom": -1.279, "space_group": "I4mm", "total_magnetization_mub_per_fu": 0.00}